Entry 1:
# SrMnAg2, relaxed, DFT PBE
# - Total energy: -32.641 eV for the cell shown
# - Formation energy from the elements: 0.06 eV/atom
data_SrMnAg2
_chemical_formula_sum 'Sr2 Mn2 Ag4'
_cell_length_a 8.112
_cell_length_b 4.685
_cell_length_c 5.968
_cell_angle_alpha 90.00
_cell_angle_beta 117.11
_cell_angle_gamma 90.00
_symmetry_space_group_name_H-M 'C 1 2/m 1'
_symmetry_Int_Tables_number 12
loop_
_symmetry_equiv_pos_as_xyz
'x,y,z'
'-x,-y,-z'
'-x,y,-z'
'x,-y,z'
'x+1/2,y+1/2,z'
'-x+1/2,-y+1/2,-z'
'-x+1/2,y+1/2,-z'
'x+1/2,-y+1/2,z'
loop_
_atom_site_label
_atom_site_fract_x
_atom_site_fract_y
_atom_site_fract_z
Sr1 0.000 0.000 0.000
Mn1 0.000 0.500 0.500
Ag1 0.202 0.000 0.605


Entry 2:
# Co2RuCl, relaxed, DFT PBE
# - ΔE_f (raw): 0.66 eV/atom
# - Total energy: -45.422 eV for the cell shown
# - Energy relative to the lowest polymorph listed for this composition: 304 meV per atom
data_Co2RuCl
_chemical_formula_sum 'Co4 Ru2 Cl2'
_cell_length_a 2.786
_cell_length_b 4.305
_cell_length_c 8.592
_cell_angle_alpha 90.00
_cell_angle_beta 90.00
_cell_angle_gamma 90.00
_symmetry_space_group_name_H-M 'I m m m'
_symmetry_Int_Tables_number 71
_symmetry_space_group_name_Hall '-I 2 2'
loop_
_atom_site_label
_atom_site_fract_x
_atom_site_fract_y
_atom_site_fract_z
Co1 0.000 0.000 0.233
Ru1 0.000 0.500 0.000
Cl1 0.000 0.500 0.500


no.,density (g/cm³)
1,5.89
2,8.20